Tb3TePN | Alexandria via LeMat-Bulk | PBE-GGA | optimized geometry; symmetry = P2_1/m
1.0
8.6353 0.0000 0.0000
0.0000 4.0592 0.0000
-1.8192 0.0000 8.9776
Tb Te P N
6 2 2 2
Cartesian
-0.0338 1.0148 3.1570
1.1384 1.0148 8.8155
2.0472 3.0444 5.9320
4.7689 1.0148 3.0456
5.6778 3.0444 0.1621
6.8500 3.0444 5.8205
2.2649 3.0444 2.5674
4.5512 1.0148 6.4102
0.1200 1.0148 5.9007
6.6961 3.0444 3.0769
1.8953 3.0444 8.0843
4.9209 1.0148 0.8932

---

Tb4Te2PN | Alexandria via LeMat-Bulk | PBE-GGA | optimized geometry; symmetry = P2/m
1.0
6.8721 0.0000 0.0000
0.0000 3.9633 0.0000
-2.2870 0.0000 7.0199
Tb Te P N
4 2 1 1
Cartesian
1.0260 0.0000 1.3552
-0.1695 1.9817 5.6348
4.7546 1.9817 1.3851
3.5591 0.0000 5.6647
-1.1435 0.0000 3.5099
2.2925 1.9817 3.5099
3.4360 0.0000 0.0000
0.0000 1.9817 0.0000

---

Tb8Te3P3N | Alexandria via LeMat-Bulk | PBE-GGA | optimized geometry; symmetry = C2/m
1.0
6.9623 -4.0225 0.0000
6.9623 4.0225 0.0000
-4.6374 0.0000 7.1160
Tb Te P N
8 3 3 1
Cartesian
-0.2085 0.0000 4.9340
3.5892 2.1932 4.9346
5.6981 2.1932 2.1814
2.3230 0.0000 2.0934
6.9643 0.0000 5.0226
3.5892 -2.1932 4.9346
5.6981 -2.1932 2.1814
9.4958 0.0000 2.1820
0.0000 0.0000 0.0000
3.4812 2.0113 0.0000
3.4812 -2.0113 0.0000
1.1625 2.0113 3.5580
1.1625 -2.0113 3.5580
4.6436 0.0000 3.5580
-2.3187 0.0000 3.5580

---

TbThPN | Alexandria via LeMat-Bulk | PBE-GGA | optimized geometry; symmetry = P4/nmm
1.0
4.3671 0.0000 0.0000
0.0000 4.3671 0.0000
0.0000 0.0000 9.0885
Tb Th P N
2 2 2 2
Cartesian
1.0918 3.2754 0.0000
3.2754 1.0918 0.0000
1.0918 1.0918 3.5307
3.2754 3.2754 5.5578
1.0918 1.0918 7.3686
3.2754 3.2754 1.7199
1.0918 3.2754 4.5442
3.2754 1.0918 4.5442

---

TbTh2PN5 | Alexandria via LeMat-Bulk | PBE-GGA | optimized geometry; symmetry = P4/mbm
1.0
6.7195 0.0000 0.0000
0.0000 6.7195 0.0000
0.0000 0.0000 5.6066
Tb Th P N
2 4 2 10
Cartesian
0.0000 0.0000 0.0000
3.3598 3.3598 0.0000
1.2008 2.1590 2.8033
2.1590 5.5187 2.8033
4.5606 1.2008 2.8033
5.5187 4.5606 2.8033
0.0000 3.3598 0.0000
3.3598 0.0000 0.0000
0.0000 0.0000 2.8033
0.8851 4.2448 1.2334
0.8851 4.2448 4.3731
2.4747 0.8851 1.2334
2.4747 0.8851 4.3731
3.3598 3.3598 2.8033
4.2448 5.8345 1.2334
4.2448 5.8345 4.3731
5.8345 2.4747 1.2334
5.8345 2.4747 4.3731

---

Tc3PN | Alexandria via LeMat-Bulk | PBE-GGA | optimized geometry; relative energy among the computed polymorphs = 0 meV/atom; symmetry = Pm-3m
1.0
4.0204 0.0000 0.0000
0.0000 4.0204 0.0000
0.0000 0.0000 4.0204
Tc P N
3 1 1
Cartesian
0.0000 0.0000 2.0102
0.0000 2.0102 0.0000
2.0102 0.0000 0.0000
2.0102 2.0102 2.0102
0.0000 0.0000 0.0000

---

TcPN3 | Alexandria via LeMat-Bulk | PBE-GGA | optimized geometry; symmetry = Pm-3m
1.0
3.8815 0.0000 0.0000
0.0000 3.8815 0.0000
0.0000 0.0000 3.8815
Tc P N
1 1 3
Cartesian
0.0000 0.0000 0.0000
1.9407 1.9407 1.9407
0.0000 0.0000 1.9407
0.0000 1.9407 0.0000
1.9407 0.0000 0.0000

---

Tc2PN | Alexandria via LeMat-Bulk | PBE-GGA | optimized geometry; relative energy among the computed polymorphs = 351 meV/atom; symmetry = Fm-3m
1.0
0.0000 2.8457 2.8457
2.8457 0.0000 2.8457
2.8457 2.8457 0.0000
Tc P N
2 1 1
Cartesian
1.4229 1.4229 1.4229
4.2686 4.2686 4.2686
0.0000 0.0000 0.0000
2.8457 2.8457 2.8457

---

Tc2PN | Alexandria via LeMat-Bulk | PBE-GGA | optimized geometry; relative energy among the computed polymorphs = 0 meV/atom; symmetry = I-42d
1.0
-2.4952 2.4952 4.7442
2.4952 -2.4952 4.7442
2.4952 2.4952 -4.7442
Tc P N
4 2 2
Cartesian
3.7427 0.9771 -1.1861
0.9771 1.2476 1.1861
-1.2476 1.5180 3.5582
1.5180 1.2476 5.9303
2.4952 0.0000 2.3721
0.0000 0.0000 4.7442
0.0000 0.0000 0.0000
0.0000 2.4952 2.3721

---

TcPN | Alexandria via LeMat-Bulk | PBE-GGA | optimized geometry; symmetry = Pnma
1.0
12.3735 0.0000 0.0000
0.0000 2.7314 0.0000
0.0000 0.0000 4.3261
Tc P N
4 4 4
Cartesian
2.6409 0.6828 0.7138
3.5459 2.0485 2.8769
8.8277 0.6828 1.4492
9.7326 2.0485 3.6123
0.9656 0.6828 2.4226
5.2212 2.0485 0.2596
7.1523 0.6828 4.0665
11.4080 2.0485 1.9035
1.5167 2.0485 3.4940
4.6701 0.6828 1.3309
7.7035 2.0485 2.9952
10.8568 0.6828 0.8321

---

TcPN3 | Alexandria via LeMat-Bulk | PBE-GGA | optimized geometry; symmetry = Pm-3m
1.0
3.4851 0.0000 0.0000
0.0000 3.4851 0.0000
0.0000 0.0000 3.4851
Tc P N
1 1 3
Cartesian
0.0000 0.0000 0.0000
1.7425 1.7425 1.7425
0.0000 1.7425 1.7425
1.7425 0.0000 1.7425
1.7425 1.7425 0.0000

---

TcTePN2 | Alexandria via LeMat-Bulk | PBE-GGA | optimized geometry; relative energy among the computed polymorphs = 0 meV/atom; symmetry = P4/mmm
1.0
3.8538 0.0000 0.0000
0.0000 3.8538 0.0000
0.0000 0.0000 5.8099
Tc Te P N
1 1 1 2
Cartesian
0.0000 0.0000 0.0000
0.0000 0.0000 2.9050
1.9269 1.9269 2.9050
0.0000 1.9269 0.0000
1.9269 0.0000 0.0000

---

TcTePN2 | Alexandria via LeMat-Bulk | PBE-GGA | optimized geometry; relative energy among the computed polymorphs = 594 meV/atom; symmetry = P4/mmm
1.0
3.5672 0.0000 0.0000
0.0000 3.5672 0.0000
0.0000 0.0000 7.1648
Tc Te P N
1 1 1 2
Cartesian
0.0000 0.0000 0.0000
1.7836 1.7836 0.0000
1.7836 1.7836 3.5824
0.0000 1.7836 3.5824
1.7836 0.0000 3.5824

---

ThTcPN | Alexandria via LeMat-Bulk | PBE-GGA | optimized geometry; symmetry = P4/nmm
1.0
4.0809 0.0000 0.0000
0.0000 4.0809 0.0000
0.0000 0.0000 8.4537
Th Tc P N
2 2 2 2
Cartesian
1.0202 1.0202 1.1525
3.0607 3.0607 7.3012
1.0202 3.0607 4.2269
3.0607 1.0202 4.2269
1.0202 1.0202 5.4424
3.0607 3.0607 3.0113
1.0202 3.0607 0.0000
3.0607 1.0202 0.0000

---

ZnTc2PN | Alexandria via LeMat-Bulk | PBE-GGA | optimized geometry; symmetry = P4/mmm
1.0
4.1174 0.0000 0.0000
0.0000 4.1174 0.0000
0.0000 0.0000 3.8325
Zn Tc P N
1 2 1 1
Cartesian
0.0000 0.0000 0.0000
0.0000 2.0587 1.9163
2.0587 0.0000 1.9163
2.0587 2.0587 0.0000
0.0000 0.0000 1.9163

---

Te2PN2 | Alexandria via LeMat-Bulk | PBE-GGA | optimized geometry; relative energy among the computed polymorphs = 153 meV/atom; symmetry = P4/mmm
1.0
3.9514 0.0000 0.0000
0.0000 3.9514 0.0000
0.0000 0.0000 6.8328
Te P N
2 1 2
Cartesian
0.0000 0.0000 0.0000
0.0000 0.0000 3.4164
1.9757 1.9757 0.0000
0.0000 1.9757 3.4164
1.9757 0.0000 3.4164

---

TeP2N | Alexandria via LeMat-Bulk | PBE-GGA | optimized geometry; relative energy among the computed polymorphs = 793 meV/atom; symmetry = Fm-3m
1.0
0.0000 3.1536 3.1536
3.1536 0.0000 3.1536
3.1536 3.1536 0.0000
Te P N
1 2 1
Cartesian
0.0000 0.0000 0.0000
1.5768 1.5768 1.5768
4.7303 4.7303 4.7303
3.1536 3.1536 3.1536

---

TeP3N | Alexandria via LeMat-Bulk | PBE-GGA | optimized geometry; relative energy among the computed polymorphs = 0 meV/atom; symmetry = Pm-3m
1.0
4.2453 0.0000 0.0000
0.0000 4.2453 0.0000
0.0000 0.0000 4.2453
Te P N
1 3 1
Cartesian
0.0000 0.0000 0.0000
0.0000 2.1226 2.1226
2.1226 0.0000 2.1226
2.1226 2.1226 0.0000
2.1226 2.1226 2.1226

---

TeP3N | Alexandria via LeMat-Bulk | PBE-GGA | optimized geometry; relative energy among the computed polymorphs = 1392 meV/atom; symmetry = Pm-3m
1.0
5.1691 0.0000 0.0000
0.0000 5.1691 0.0000
0.0000 0.0000 5.1691
Te P N
1 3 1
Cartesian
0.0000 0.0000 0.0000
0.0000 0.0000 2.5846
0.0000 2.5846 0.0000
2.5846 0.0000 0.0000
2.5846 2.5846 2.5846

---

TeP2N | Alexandria via LeMat-Bulk | PBE-GGA | optimized geometry; relative energy among the computed polymorphs = 0 meV/atom; symmetry = I-42d
1.0
-2.4563 2.4563 5.9325
2.4563 -2.4563 5.9325
2.4563 2.4563 -5.9325
Te P N
2 4 2
Cartesian
0.0000 0.0000 0.0000
0.0000 2.4563 2.9663
1.2281 -0.3597 4.4494
2.0966 1.2281 1.4831
1.2281 2.8160 -1.4831
0.3597 1.2281 7.4157
2.4563 0.0000 2.9663
0.0000 0.0000 5.9325

---

| no. | energy (eV/atom) | V (Å³/atom) | formation energy (no corrections) (eV/atom) |
| --- | --- | --- | --- |
| 1 | -6.5665 | 26.22 | -1.439 |
| 2 | -6.2519 | 23.90 | -1.434 |
| 3 | -6.1032 | 26.57 | -1.368 |
| 4 | -7.6878 | 21.67 | -1.241 |
| 5 | -8.3833 | 14.06 | -0.994 |
| 6 | -8.7159 | 13.00 | 0.251 |
| 7 | -6.7174 | 11.70 | 1.433 |
| 8 | -8.2794 | 11.52 | 0.337 |
| 9 | -8.6308 | 14.77 | -0.014 |
| 10 | -7.7518 | 12.18 | 0.282 |
| 11 | -7.1443 | 8.47 | 1.006 |
| 12 | -6.2935 | 17.26 | 0.820 |
| 13 | -5.6994 | 18.23 | 1.414 |
| 14 | -9.0948 | 17.60 | -1.215 |
| 15 | -6.7273 | 12.99 | 0.421 |
| 16 | -4.1414 | 21.34 | 1.527 |
| 17 | -3.9807 | 15.68 | 1.591 |
| 18 | -4.5706 | 15.30 | 0.969 |
| 19 | -3.1790 | 27.62 | 2.360 |
| 20 | -4.7738 | 17.90 | 0.798 |